Entry 1:
# NiIr2 (GGA-PBE, optimized geometry)
# formation enthalpy at 0 K	0.0504	eV per atom
# SG	Pnma, No. 62
# total moment	0.00	μB/f.u.
data_NiIr2
_cell_length_a 5.349
_cell_length_b 3.783
_cell_length_c 7.985
_cell_angle_alpha 90.00
_cell_angle_beta 90.00
_cell_angle_gamma 90.00
_symmetry_space_group_name_H-M 'P 1'
_symmetry_Int_Tables_number 1
_symmetry_space_group_name_Hall 'P 1'
loop_
_atom_site_label
_atom_site_type_symbol
_atom_site_fract_x
_atom_site_fract_y
_atom_site_fract_z
Ni1 Ni 0.128 0.250 0.913
Ni2 Ni 0.628 0.250 0.587
Ni3 Ni 0.372 0.750 0.413
Ni4 Ni 0.872 0.750 0.087
Ir1 Ir 0.636 0.250 0.920
Ir2 Ir 0.864 0.750 0.420
Ir3 Ir 0.383 0.750 0.749
Ir4 Ir 0.883 0.750 0.751
Ir5 Ir 0.136 0.250 0.580
Ir6 Ir 0.117 0.250 0.249
Ir7 Ir 0.617 0.250 0.251
Ir8 Ir 0.364 0.750 0.080

***

Entry 2:
# Ni2Ir (GGA-PBE, optimized geometry)
# formation enthalpy at 0 K	0.8968	eV per atom
# SG	Pa-3, No. 205
# total moment	0.43	μB/f.u.
# ΔE to the lowest computed polymorph	882	meV/atom
data_Ni2Ir
_cell_length_a 5.677
_cell_length_b 5.677
_cell_length_c 5.677
_cell_angle_alpha 90.00
_cell_angle_beta 90.00
_cell_angle_gamma 90.00
_symmetry_space_group_name_H-M 'P 1'
_symmetry_Int_Tables_number 1
_symmetry_space_group_name_Hall 'P 1'
loop_
_atom_site_label
_atom_site_type_symbol
_atom_site_fract_x
_atom_site_fract_y
_atom_site_fract_z
Ni1 Ni 0.617 0.883 0.117
Ni2 Ni 0.117 0.883 0.383
Ni3 Ni 0.883 0.383 0.117
Ni4 Ni 0.617 0.617 0.617
Ni5 Ni 0.117 0.617 0.883
Ni6 Ni 0.383 0.383 0.383
Ni7 Ni 0.383 0.117 0.883
Ni8 Ni 0.883 0.117 0.617
Ir1 Ir 0.000 0.500 0.500
Ir2 Ir 0.000 0.000 0.000
Ir3 Ir 0.500 0.000 0.500
Ir4 Ir 0.500 0.500 0.000

***

Entry 3:
# NiIr2 (GGA-PBE, optimized geometry)
# formation enthalpy at 0 K	-0.0150	eV per atom
# SG	Immm, No. 71
# total moment	0.00	μB/f.u.
data_NiIr2
_cell_length_a 4.582
_cell_length_b 4.582
_cell_length_c 4.582
_cell_angle_alpha 145.43
_cell_angle_beta 131.98
_cell_angle_gamma 60.51
_symmetry_space_group_name_H-M 'P 1'
_symmetry_Int_Tables_number 1
_symmetry_space_group_name_Hall 'P 1'
loop_
_atom_site_label
_atom_site_type_symbol
_atom_site_fract_x
_atom_site_fract_y
_atom_site_fract_z
Ir1 Ir 0.668 0.668 0.000
Ir2 Ir 0.999 0.999 0.000
Ni1 Ni 0.333 0.333 0.000

***

Entry 4:
# Ni2Ir (GGA-PBE, optimized geometry)
# formation enthalpy at 0 K	0.0356	eV per atom
# SG	C2/m, No. 12
# total moment	1.05	μB/f.u.
# ΔE to the lowest computed polymorph	20	meV/atom
data_Ni2Ir
_cell_length_a 2.650
_cell_length_b 4.426
_cell_length_c 10.399
_cell_angle_alpha 141.91
_cell_angle_beta 97.32
_cell_angle_gamma 90.00
_symmetry_space_group_name_H-M 'P 1'
_symmetry_Int_Tables_number 1
_symmetry_space_group_name_Hall 'P 1'
loop_
_atom_site_label
_atom_site_type_symbol
_atom_site_fract_x
_atom_site_fract_y
_atom_site_fract_z
Ni1 Ni 0.586 0.981 0.671
Ni2 Ni 0.414 0.019 0.329
Ni3 Ni 0.250 0.748 0.000
Ni4 Ni 0.750 0.252 0.000
Ir1 Ir 0.086 0.487 0.672
Ir2 Ir 0.914 0.513 0.328

***

Entry 5:
# Ni2Ir (GGA-PBE, optimized geometry)
# formation enthalpy at 0 K	0.1385	eV per atom
# SG	Fd-3m, No. 227
# total moment	2.32	μB/f.u.
# ΔE to the lowest computed polymorph	123	meV/atom
data_Ni2Ir
_cell_length_a 4.684
_cell_length_b 4.684
_cell_length_c 4.684
_cell_angle_alpha 60.00
_cell_angle_beta 60.00
_cell_angle_gamma 60.00
_symmetry_space_group_name_H-M 'P 1'
_symmetry_Int_Tables_number 1
_symmetry_space_group_name_Hall 'P 1'
loop_
_atom_site_label
_atom_site_type_symbol
_atom_site_fract_x
_atom_site_fract_y
_atom_site_fract_z
Ni1 Ni 0.625 0.125 0.625
Ni2 Ni 0.625 0.625 0.625
Ni3 Ni 0.125 0.625 0.625
Ni4 Ni 0.625 0.625 0.125
Ir1 Ir 0.000 0.000 0.000
Ir2 Ir 0.250 0.250 0.250

***

Entry 6:
# NiIr3 (GGA-PBE, optimized geometry)
# formation enthalpy at 0 K	0.0551	eV per atom
# SG	Cmmm, No. 65
# total moment	0.01	μB/f.u.
data_NiIr3
_cell_length_a 4.645
_cell_length_b 4.645
_cell_length_c 2.717
_cell_angle_alpha 90.00
_cell_angle_beta 90.00
_cell_angle_gamma 109.35
_symmetry_space_group_name_H-M 'P 1'
_symmetry_Int_Tables_number 1
_symmetry_space_group_name_Hall 'P 1'
loop_
_atom_site_label
_atom_site_type_symbol
_atom_site_fract_x
_atom_site_fract_y
_atom_site_fract_z
Ir1 Ir 0.500 0.000 0.500
Ir2 Ir 0.000 0.500 0.500
Ir3 Ir 0.000 0.000 0.000
Ni1 Ni 0.500 0.500 0.000

***

Entry 7:
# Ni2Ir (GGA-PBE, optimized geometry)
# formation enthalpy at 0 K	0.1230	eV per atom
# SG	I4/mmm, No. 139
# total moment	0.82	μB/f.u.
# ΔE to the lowest computed polymorph	108	meV/atom
data_Ni2Ir
_cell_length_a 2.998
_cell_length_b 4.579
_cell_length_c 2.998
_cell_angle_alpha 70.89
_cell_angle_beta 90.00
_cell_angle_gamma 109.11
_symmetry_space_group_name_H-M 'P 1'
_symmetry_Int_Tables_number 1
_symmetry_space_group_name_Hall 'P 1'
loop_
_atom_site_label
_atom_site_type_symbol
_atom_site_fract_x
_atom_site_fract_y
_atom_site_fract_z
Ni1 Ni 0.325 0.651 0.675
Ni2 Ni 0.675 0.349 0.325
Ir1 Ir 0.000 0.000 0.000

***

Entry 8:
# NiIr4 (GGA-PBE, optimized geometry)
# formation enthalpy at 0 K	1.7276	eV per atom
# SG	Pm-3m, No. 221
# total moment	3.13	μB/f.u.
# ΔE to the lowest computed polymorph	1717	meV/atom
data_NiIr4
_cell_length_a 4.389
_cell_length_b 4.389
_cell_length_c 4.389
_cell_angle_alpha 90.00
_cell_angle_beta 90.00
_cell_angle_gamma 90.00
_symmetry_space_group_name_H-M 'P 1'
_symmetry_Int_Tables_number 1
_symmetry_space_group_name_Hall 'P 1'
loop_
_atom_site_label
_atom_site_type_symbol
_atom_site_fract_x
_atom_site_fract_y
_atom_site_fract_z
Ir1 Ir 0.500 0.000 0.500
Ir2 Ir 0.000 0.500 0.500
Ir3 Ir 0.500 0.500 0.000
Ir4 Ir 0.000 0.000 0.000
Ni1 Ni 0.500 0.500 0.500

***

Entry 9:
# NiIr3 (GGA-PBE, optimized geometry)
# formation enthalpy at 0 K	0.2863	eV per atom
# SG	P2/m, No. 10
# total moment	0.00	μB/f.u.
data_NiIr3
_cell_length_a 2.687
_cell_length_b 4.609
_cell_length_c 5.297
_cell_angle_alpha 90.00
_cell_angle_beta 120.04
_cell_angle_gamma 90.00
_symmetry_space_group_name_H-M 'P 1'
_symmetry_Int_Tables_number 1
_symmetry_space_group_name_Hall 'P 1'
loop_
_atom_site_label
_atom_site_type_symbol
_atom_site_fract_x
_atom_site_fract_y
_atom_site_fract_z
Ir1 Ir 0.000 0.000 0.500
Ir2 Ir 0.988 0.500 0.245
Ir3 Ir 0.012 0.500 0.755
Ni1 Ni 0.000 0.000 0.000

***

Entry 10:
# Ni3Ir5 (GGA-PBE, optimized geometry)
# formation enthalpy at 0 K	0.3737	eV per atom
# SG	P6_3/mcm, No. 193
# total moment	0.00	μB/f.u.
data_Ni3Ir5
_cell_length_a 7.124
_cell_length_b 7.125
_cell_length_c 4.957
_cell_angle_alpha 90.00
_cell_angle_beta 90.00
_cell_angle_gamma 59.98
_symmetry_space_group_name_H-M 'P 1'
_symmetry_Int_Tables_number 1
_symmetry_space_group_name_Hall 'P 1'
loop_
_atom_site_label
_atom_site_type_symbol
_atom_site_fract_x
_atom_site_fract_y
_atom_site_fract_z
Ni1 Ni 0.595 0.405 0.750
Ni2 Ni 0.595 0.000 0.250
Ni3 Ni 0.000 0.595 0.750
Ni4 Ni 0.405 0.000 0.750
Ni5 Ni 0.000 0.405 0.250
Ni6 Ni 0.405 0.595 0.250
Ir1 Ir 0.333 0.333 0.500
Ir2 Ir 0.000 0.779 0.250
Ir3 Ir 0.667 0.667 0.500
Ir4 Ir 0.667 0.667 0.000
Ir5 Ir 0.221 0.000 0.250
Ir6 Ir 0.779 0.221 0.250
Ir7 Ir 0.221 0.779 0.750
Ir8 Ir 0.779 0.000 0.750
Ir9 Ir 0.333 0.333 0.000
Ir10 Ir 0.000 0.221 0.750

***

Entry 11:
# Ni7Ir6 (GGA-PBE, optimized geometry)
# formation enthalpy at 0 K	0.1552	eV per atom
# SG	R-3m, No. 166
# total moment	6.66	μB/f.u.
data_Ni7Ir6
_cell_length_a 9.026
_cell_length_b 9.026
_cell_length_c 9.026
_cell_angle_alpha 30.09
_cell_angle_beta 30.09
_cell_angle_gamma 30.09
_symmetry_space_group_name_H-M 'P 1'
_symmetry_Int_Tables_number 1
_symmetry_space_group_name_Hall 'P 1'
loop_
_atom_site_label
_atom_site_type_symbol
_atom_site_fract_x
_atom_site_fract_y
_atom_site_fract_z
Ni1 Ni 0.591 0.591 0.088
Ni2 Ni 0.500 0.500 0.500
Ni3 Ni 0.409 0.912 0.409
Ni4 Ni 0.409 0.409 0.912
Ni5 Ni 0.088 0.591 0.591
Ni6 Ni 0.591 0.088 0.591
Ni7 Ni 0.912 0.409 0.409
Ir1 Ir 0.153 0.153 0.153
Ir2 Ir 0.333 0.333 0.333
Ir3 Ir 0.048 0.048 0.048
Ir4 Ir 0.667 0.667 0.667
Ir5 Ir 0.847 0.847 0.847
Ir6 Ir 0.952 0.952 0.952

***

Entry 12:
# Ni3Ir5 (GGA-PBE, optimized geometry)
# formation enthalpy at 0 K	0.2876	eV per atom
# SG	Fdd2, No. 43
# total moment	0.00	μB/f.u.
data_Ni3Ir5
_cell_length_a 4.988
_cell_length_b 7.229
_cell_length_c 7.041
_cell_angle_alpha 82.98
_cell_angle_beta 69.26
_cell_angle_gamma 69.82
_symmetry_space_group_name_H-M 'P 1'
_symmetry_Int_Tables_number 1
_symmetry_space_group_name_Hall 'P 1'
loop_
_atom_site_label
_atom_site_type_symbol
_atom_site_fract_x
_atom_site_fract_y
_atom_site_fract_z
Ir1 Ir 0.169 0.071 0.802
Ir2 Ir 0.222 0.571 0.698
Ir3 Ir 0.867 0.718 0.065
Ir4 Ir 0.056 0.887 0.500
Ir5 Ir 0.760 0.071 0.198
Ir6 Ir 0.207 0.571 0.302
Ir7 Ir 0.806 0.387 0.000
Ir8 Ir 0.600 0.218 0.565
Ir9 Ir 0.182 0.218 0.435
Ir10 Ir 0.415 0.718 0.935
Ni1 Ni 0.695 0.994 0.845
Ni2 Ni 0.310 0.994 0.155
Ni3 Ni 0.585 0.830 0.500
Ni4 Ni 0.335 0.330 0.000
Ni5 Ni 0.716 0.494 0.345
Ni6 Ni 0.790 0.494 0.655

***

Question: Which of these has the highest total moment?
Answer: Ni7Ir6

***

Repeat the second record exactly.
# Ni2Ir (GGA-PBE, optimized geometry)
# formation enthalpy at 0 K	0.8968	eV per atom
# SG	Pa-3, No. 205
# total moment	0.43	μB/f.u.
# ΔE to the lowest computed polymorph	882	meV/atom
data_Ni2Ir
_cell_length_a 5.677
_cell_length_b 5.677
_cell_length_c 5.677
_cell_angle_alpha 90.00
_cell_angle_beta 90.00
_cell_angle_gamma 90.00
_symmetry_space_group_name_H-M 'P 1'
_symmetry_Int_Tables_number 1
_symmetry_space_group_name_Hall 'P 1'
loop_
_atom_site_label
_atom_site_type_symbol
_atom_site_fract_x
_atom_site_fract_y
_atom_site_fract_z
Ni1 Ni 0.617 0.883 0.117
Ni2 Ni 0.117 0.883 0.383
Ni3 Ni 0.883 0.383 0.117
Ni4 Ni 0.617 0.617 0.617
Ni5 Ni 0.117 0.617 0.883
Ni6 Ni 0.383 0.383 0.383
Ni7 Ni 0.383 0.117 0.883
Ni8 Ni 0.883 0.117 0.617
Ir1 Ir 0.000 0.500 0.500
Ir2 Ir 0.000 0.000 0.000
Ir3 Ir 0.500 0.000 0.500
Ir4 Ir 0.500 0.500 0.000